Record 1
Pa2BeO | PBE | relaxed

Lattice parameters (Å, degrees): 3.125 3.125 9.427 80.46 80.46 60.00
Sites, in units of the cell vectors:
Be1 0.000 0.000 0.000
Pa1 0.107 0.107 0.679
Pa2 0.893 0.893 0.321
O1 0.500 0.500 0.500

Total magnetic moment, μB/cell: 0.000
Formation energy (no corrections), kJ/mol of atoms: -36.0

=====

Record 2
GaHPdRh2 | PBE | relaxed

Lattice parameters (Å, degrees): 3.851 3.851 4.103 90.00 90.00 90.00
Sites, in units of the cell vectors:
H1 0.000 0.000 0.000
Rh1 0.000 0.500 0.000
Rh2 0.500 0.000 0.000
Ga1 0.000 0.000 0.500
Pd1 0.500 0.500 0.500

Energy above the lowest structure with this stoichiometry, eV/atom: 0.159
Total magnetic moment, μB/cell: 0.000

=====

Record 3
Mg3ScI | PBE | relaxed

Lattice parameters (Å, degrees): 5.543 5.543 5.543 90.00 90.00 90.00
Last column: magnetic moment on the atom in μB.
Sites, in units of the cell vectors:
I1 0.000 0.000 0.000  0.03
Sc1 0.500 0.500 0.500  0.40
Mg1 0.000 0.500 0.000  0.01
Mg2 0.000 0.000 0.500  0.00
Mg3 0.500 0.000 0.000  0.01

Energy above the lowest structure with this stoichiometry, eV/atom: 0.069
Total magnetic moment, μB/cell: 0.806
Formation energy (no corrections), kJ/mol of atoms: 70.1